DFT (PBE) results for crystalline TiBe17Nb at its relaxed geometry.

Results
ΔH_f (0 K) = -212 meV/atom
total DFT energy (no corrections) = -4.49 eV per atom
crystal system = trigonal
M_tot = 0.00 μB/f.u.
V = 8.831 Å³ per atom

Lattice parameters (Å, degrees): 7.3542 7.3542 10.7468 90.00 90.00 120.00
Space group R3m (No. 160, hexagonal axes)
One atom of each set of equivalent atoms:
Ti 0.0000 0.0000 0.0000
Be 0.0000 0.0000 0.2389
Be 0.0000 0.0000 0.4353
Be 0.0044 0.5022 0.4929
Be 0.0397 0.3720 0.0039
Be 0.1671 0.3342 0.1713
Be 0.1694 0.3388 0.5147
Nb 0.0000 0.0000 0.6748